Record 1
Compound: Y3TaS6
Source: the Alexandria database
Functional: PBE
Structure: relaxed

abc: 8.518 8.518 6.511
angles: 90.00 90.00 101.37
Fractional coordinates of all 20 atoms:
Y  0.094  0.906  0.500
Y  0.231  0.414  0.412
Y  0.414  0.231  0.912
Y  0.586  0.769  0.412
Y  0.769  0.586  0.912
Y  0.906  0.094  0.000
Ta  0.311  0.689  0.866
Ta  0.689  0.311  0.366
S  0.071  0.600  0.695
S  0.129  0.193  0.706
S  0.193  0.129  0.206
S  0.278  0.722  0.220
S  0.400  0.929  0.695
S  0.476  0.524  0.710
S  0.524  0.476  0.210
S  0.600  0.071  0.195
S  0.722  0.278  0.720
S  0.807  0.871  0.706
S  0.871  0.807  0.206
S  0.929  0.400  0.195

Summary:
Calculated density, Mg/m³: 4.590
Formation energy without anion corrections, eV per atom: -1.608

---

Record 2
Compound: YTaS2
Source: the Alexandria database
Functional: PBE
Structure: relaxed

abc: 5.493 5.493 12.781
angles: 90.00 90.00 90.00
Fractional coordinates of all 16 atoms:
Y  0.000  0.000  0.000
Y  0.000  0.500  0.250
Y  0.500  0.000  0.750
Y  0.500  0.500  0.500
Ta  0.000  0.000  0.500
Ta  0.000  0.500  0.750
Ta  0.500  0.000  0.250
Ta  0.500  0.500  0.000
S  0.200  0.250  0.625
S  0.250  0.700  0.875
S  0.250  0.800  0.375
S  0.300  0.250  0.125
S  0.700  0.750  0.125
S  0.750  0.200  0.375
S  0.750  0.300  0.875
S  0.800  0.750  0.625

Summary:
Calculated density, Mg/m³: 5.753
Energy above the lowest structure with this stoichiometry, meV per atom: 177.8
Formation energy without anion corrections, eV per atom: -0.782

---

Record 3
Compound: YTaS3
Source: the Alexandria database
Functional: PBE
Structure: relaxed

abc: 3.564 7.019 8.469
angles: 79.27 77.92 75.30
Fractional coordinates of all 10 atoms:
Y  0.088  0.235  0.089
Y  0.912  0.765  0.911
Ta  0.250  0.381  0.619
Ta  0.750  0.619  0.381
S  0.105  0.746  0.543
S  0.323  0.046  0.808
S  0.391  0.549  0.166
S  0.609  0.451  0.834
S  0.677  0.954  0.192
S  0.895  0.254  0.457

Summary:
Calculated density, Mg/m³: 6.127
Energy above the lowest structure with this stoichiometry, meV per atom: 0.0
Formation energy without anion corrections, eV per atom: -1.457

---

Record 4
Compound: Y2ZrTaS
Source: the Alexandria database
Functional: PBE
Structure: relaxed

abc: 5.550 5.550 5.003
angles: 90.00 90.00 90.00
Fractional coordinates of all 5 atoms:
Y  0.000  0.500  0.000
Y  0.500  0.000  0.000
Zr  0.000  0.000  0.500
Ta  0.000  0.000  0.000
S  0.500  0.500  0.500

Summary:
Calculated density, Mg/m³: 5.193
Formation energy without anion corrections, eV per atom: 0.709

---

Record 5
Compound: TaZnS3
Source: the Alexandria database
Functional: PBE
Structure: relaxed

abc: 4.797 4.797 4.797
angles: 90.00 90.00 90.00
Fractional coordinates of all 5 atoms:
Ta  0.000  0.000  0.000
Zn  0.500  0.500  0.500
S  0.000  0.000  0.500
S  0.000  0.500  0.000
S  0.500  0.000  0.000

Summary:
Calculated density, Mg/m³: 5.153
Energy above the lowest structure with this stoichiometry, meV per atom: 0.0
Formation energy without anion corrections, eV per atom: -0.224

---

Record 6
Compound: Ta2ZnS4
Source: the Alexandria database
Functional: PBE
Structure: relaxed

abc: 3.411 3.411 12.871
angles: 90.00 90.00 120.00
Fractional coordinates of all 7 atoms:
Ta  0.000  0.000  0.244
Ta  0.000  0.000  0.756
Zn  0.000  0.000  0.000
S  0.333  0.667  0.638
S  0.333  0.667  0.879
S  0.667  0.333  0.121
S  0.667  0.333  0.362

Summary:
Calculated density, Mg/m³: 7.115
Formation energy without anion corrections, eV per atom: -0.842

---

Record 7
Compound: TaZnS3
Source: the Alexandria database
Functional: PBE
Structure: relaxed

abc: 4.505 4.505 4.505
angles: 90.00 90.00 90.00
Fractional coordinates of all 5 atoms:
Ta  0.000  0.000  0.000
Zn  0.500  0.500  0.500
S  0.000  0.500  0.500
S  0.500  0.000  0.500
S  0.500  0.500  0.000

Summary:
Calculated density, Mg/m³: 6.223
Energy above the lowest structure with this stoichiometry, meV per atom: 988.8
Formation energy without anion corrections, eV per atom: 0.765

---

Record 8
Compound: ZrTaS2
Source: the Alexandria database
Functional: PBE
Structure: relaxed

abc: 3.241 3.241 25.556
angles: 90.00 90.00 120.00
Fractional coordinates of all 12 atoms:
Zr  0.000  0.000  0.000
Zr  0.333  0.667  0.667
Zr  0.667  0.333  0.333
Ta  0.000  0.000  0.500
Ta  0.333  0.667  0.167
Ta  0.667  0.333  0.833
S  0.000  0.000  0.102
S  0.000  0.000  0.898
S  0.333  0.667  0.564
S  0.333  0.667  0.769
S  0.667  0.333  0.231
S  0.667  0.333  0.436

Summary:
Calculated density, Mg/m³: 7.206
Energy above the lowest structure with this stoichiometry, meV per atom: 87.4
Formation energy without anion corrections, eV per atom: -0.704

---

Q: Among the records above, which one has the highest formation energy without anion corrections?
A: number 7